No. 1
Here is a relaxed K2NaCd3Bi4 crystal from the Alexandria database. Energies are from PBE.

Cell lengths 5.129, 5.129, 12.807 Å; angles 90.00, 90.00, 90.00 degrees
Fractional positions:
K1 0.000 0.500 0.246
K2 0.500 0.000 0.754
Na1 0.500 0.500 0.000
Cd1 0.000 0.000 0.000
Cd2 0.000 0.500 0.639
Cd3 0.500 0.000 0.361
Bi1 0.000 0.000 0.500
Bi2 0.000 0.500 0.864
Bi3 0.500 0.000 0.136
Bi4 0.500 0.500 0.500

Results
Raw total energy = -2.435 eV/atom
Symmetry = No. 115
Magnetic moment = 0.00 μB per formula unit
Formation enthalpy at 0 K = -0.26 eV per atom



No. 2
Here is a relaxed KNaCdBi crystal from the Alexandria database. Energies are from PBE.

Cell lengths 5.617, 5.617, 5.617 Å; angles 60.00, 60.00, 60.00 degrees
Fractional positions:
K1 0.000 0.000 0.000
Na1 0.250 0.250 0.250
Cd1 0.750 0.750 0.750
Bi1 0.500 0.500 0.500

Results
Raw total energy = -2.002 eV/atom
Symmetry = No. 216
Magnetic moment = 0.00 μB per formula unit
Formation enthalpy at 0 K = -0.20 eV per atom



No. 3
Here is a relaxed K2NaCd2Bi2 crystal from the Alexandria database. Energies are from PBE.

Cell lengths 10.208, 10.208, 10.208 Å; angles 30.45, 30.45, 30.45 degrees
Fractional positions:
K1 0.127 0.127 0.127
K2 0.873 0.873 0.873
Na1 0.000 0.000 0.000
Cd1 0.379 0.379 0.379
Cd2 0.621 0.621 0.621
Bi1 0.267 0.267 0.267
Bi2 0.733 0.733 0.733

Results
Raw total energy = -2.130 eV/atom
Symmetry = No. 166
Magnetic moment = 0.00 μB per formula unit
Formation enthalpy at 0 K = -0.26 eV per atom



No. 4
Here is a relaxed KCd2NiBi crystal from the Alexandria database. Energies are from PBE.

Cell lengths 5.166, 5.166, 5.154 Å; angles 90.00, 90.00, 90.00 degrees
Fractional positions:
K1 0.000 0.000 0.000
Cd1 0.000 0.500 0.500
Cd2 0.500 0.000 0.500
Ni1 0.500 0.500 0.500
Bi1 0.500 0.500 0.000

Results
Raw total energy = -2.558 eV/atom
Symmetry = No. 123
Magnetic moment = 0.00 μB per formula unit
Formation enthalpy at 0 K = -0.04 eV per atom



No. 5
Here is a relaxed K2Cd2BiO6 crystal from the Alexandria database. Energies are from PBE.

Cell lengths 5.835, 5.835, 6.745 Å; angles 100.17, 100.17, 117.84 degrees
Fractional positions:
K1 0.176 0.824 0.000
K2 0.824 0.176 0.000
Cd1 0.335 0.665 0.500
Cd2 0.665 0.335 0.500
Bi1 0.000 0.000 0.500
O1 0.053 0.371 0.689
O2 0.241 0.241 0.323
O3 0.371 0.053 0.689
O4 0.629 0.947 0.311
O5 0.759 0.759 0.677
O6 0.947 0.629 0.311

Results
Raw total energy = -4.513 eV/atom
Symmetry = No. 12
Magnetic moment = 1.09 μB per formula unit



No. 6
Here is a relaxed KCdBiO3 crystal from the Alexandria database. Energies are from PBE.

Cell lengths 8.072, 3.566, 8.513 Å; angles 90.00, 91.50, 90.00 degrees
Fractional positions:
K1 0.147 0.250 0.177
K2 0.853 0.750 0.823
Cd1 0.142 0.250 0.575
Cd2 0.858 0.750 0.425
Bi1 0.404 0.750 0.840
Bi2 0.596 0.250 0.160
O1 0.148 0.750 0.423
O2 0.219 0.250 0.831
O3 0.395 0.750 0.088
O4 0.605 0.250 0.912
O5 0.781 0.750 0.169
O6 0.852 0.250 0.577

Results
Raw total energy = -4.644 eV/atom
Symmetry = No. 11
Magnetic moment = 0.00 μB per formula unit



No. 7
Here is a relaxed K2CdBiO4 crystal from the Alexandria database. Energies are from PBE.

Cell lengths 6.074, 3.541, 6.526 Å; angles 90.00, 108.56, 90.00 degrees
Fractional positions:
K1 0.000 0.000 0.000
K2 0.500 0.500 0.000
Cd1 0.000 0.500 0.500
Bi1 0.500 0.000 0.500
O1 0.246 0.000 0.690
O2 0.284 0.500 0.304
O3 0.716 0.500 0.696
O4 0.754 0.000 0.310

Results
Raw total energy = -4.590 eV/atom
Symmetry = No. 10
Magnetic moment = 0.00 μB per formula unit



No. 8
Here is a relaxed KCdBiPb crystal from the Alexandria database. Energies are from PBE.

Cell lengths 5.715, 5.715, 5.715 Å; angles 60.00, 60.00, 60.00 degrees
Fractional positions:
K1 0.000 0.000 0.000
Cd1 0.250 0.250 0.250
Bi1 0.750 0.750 0.750
Pb1 0.500 0.500 0.500

Results
Raw total energy = -2.500 eV/atom
Symmetry = No. 216
Magnetic moment = 0.00 μB per formula unit
Formation enthalpy at 0 K = -0.10 eV per atom



No. 9
Here is a relaxed KCdBiPb crystal from the Alexandria database. Energies are from PBE.

Cell lengths 4.567, 4.567, 14.194 Å; angles 90.00, 90.00, 90.00 degrees
Fractional positions:
K1 0.250 0.250 0.240
K2 0.750 0.750 0.760
Cd1 0.250 0.750 0.500
Cd2 0.750 0.250 0.500
Bi1 0.250 0.250 0.640
Bi2 0.750 0.750 0.360
Pb1 0.250 0.750 0.000
Pb2 0.750 0.250 0.000

Results
Raw total energy = -2.522 eV/atom
Symmetry = No. 129
Magnetic moment = 0.00 μB per formula unit
Formation enthalpy at 0 K = -0.12 eV per atom



No. 10
Here is a relaxed K2Cd3Bi4Pb crystal from the Alexandria database. Energies are from PBE.

Cell lengths 5.364, 5.364, 12.377 Å; angles 90.00, 90.00, 90.00 degrees
Fractional positions:
K1 0.000 0.500 0.237
K2 0.500 0.000 0.763
Cd1 0.000 0.500 0.876
Cd2 0.500 0.000 0.124
Cd3 0.500 0.500 0.500
Bi1 0.000 0.000 0.000
Bi2 0.000 0.500 0.637
Bi3 0.500 0.000 0.363
Bi4 0.500 0.500 0.000
Pb1 0.000 0.000 0.500

Results
Raw total energy = -2.589 eV/atom
Symmetry = No. 115
Magnetic moment = 0.00 μB per formula unit
Formation enthalpy at 0 K = -0.17 eV per atom



No. 11
Here is a relaxed K3Cd2Bi4Pb2 crystal from the Alexandria database. Energies are from PBE.

Cell lengths 5.145, 5.145, 19.068 Å; angles 90.00, 90.00, 120.00 degrees
Fractional positions:
K1 0.000 0.000 0.000
K2 0.000 0.000 0.267
K3 0.000 0.000 0.733
Cd1 0.333 0.667 0.139
Cd2 0.667 0.333 0.861
Bi1 0.333 0.667 0.387
Bi2 0.333 0.667 0.867
Bi3 0.667 0.333 0.133
Bi4 0.667 0.333 0.613
Pb1 0.333 0.667 0.557
Pb2 0.667 0.333 0.443

Results
Raw total energy = -2.770 eV/atom
Symmetry = No. 164
Magnetic moment = 0.00 μB per formula unit
Formation enthalpy at 0 K = -0.22 eV per atom



No. 12
Here is a relaxed K2Cd4BiPb3 crystal from the Alexandria database. Energies are from PBE.

Cell lengths 4.967, 4.967, 13.230 Å; angles 90.00, 90.00, 90.00 degrees
Fractional positions:
K1 0.000 0.500 0.244
K2 0.500 0.000 0.756
Cd1 0.000 0.000 0.000
Cd2 0.000 0.500 0.647
Cd3 0.500 0.000 0.353
Cd4 0.500 0.500 0.000
Bi1 0.000 0.000 0.500
Pb1 0.000 0.500 0.868
Pb2 0.500 0.000 0.132
Pb3 0.500 0.500 0.500

Results
Raw total energy = -2.206 eV/atom
Symmetry = No. 115
Magnetic moment = 0.00 μB per formula unit
Formation enthalpy at 0 K = -0.12 eV per atom



No. 13
Here is a relaxed KCd2BiPd crystal from the Alexandria database. Energies are from PBE.

Cell lengths 5.314, 5.314, 5.440 Å; angles 90.00, 90.00, 90.00 degrees
Fractional positions:
K1 0.000 0.000 0.000
Cd1 0.000 0.500 0.500
Cd2 0.500 0.000 0.500
Bi1 0.500 0.500 0.000
Pd1 0.500 0.500 0.500

Results
Raw total energy = -2.549 eV/atom
Symmetry = No. 123
Magnetic moment = 0.00 μB per formula unit
Formation enthalpy at 0 K = -0.15 eV per atom



No. 14
Here is a relaxed KPuCdBi crystal from the Alexandria database. Energies are from PBE.

Cell lengths 5.664, 5.664, 5.664 Å; angles 60.00, 60.00, 60.00 degrees
Fractional positions:
K1 0.000 0.000 0.000
Pu1 0.500 0.500 0.500
Cd1 0.750 0.750 0.750
Bi1 0.250 0.250 0.250

Results
Raw total energy = -5.155 eV/atom
Symmetry = No. 216
Magnetic moment = 6.00 μB per formula unit
Formation enthalpy at 0 K = -0.10 eV per atom



No. 15
Here is a relaxed KRbCd2Bi2 crystal from the Alexandria database. Energies are from PBE.

Cell lengths 5.035, 5.035, 10.939 Å; angles 90.00, 90.00, 120.00 degrees
Fractional positions:
K1 0.000 0.000 0.000
Rb1 0.000 0.000 0.500
Cd1 0.333 0.667 0.772
Cd2 0.667 0.333 0.228
Bi1 0.333 0.667 0.247
Bi2 0.667 0.333 0.753

Results
Raw total energy = -2.257 eV/atom
Symmetry = No. 164
Magnetic moment = 0.00 μB per formula unit
Formation enthalpy at 0 K = -0.31 eV per atom



No. 16
Here is a relaxed KRb2Cd2Bi2 crystal from the Alexandria database. Energies are from PBE.

Cell lengths 10.808, 10.808, 10.808 Å; angles 29.61, 29.61, 29.61 degrees
Fractional positions:
K1 0.000 0.000 0.000
Rb1 0.126 0.126 0.126
Rb2 0.874 0.874 0.874
Cd1 0.381 0.381 0.381
Cd2 0.619 0.619 0.619
Bi1 0.269 0.269 0.269
Bi2 0.731 0.731 0.731

Results
Raw total energy = -2.050 eV/atom
Symmetry = No. 166
Magnetic moment = 0.00 μB per formula unit
Formation enthalpy at 0 K = -0.25 eV per atom



No. 17
Here is a relaxed K2RbCd2Bi2 crystal from the Alexandria database. Energies are from PBE.

Cell lengths 11.697, 11.697, 11.697 Å; angles 26.64, 26.64, 26.64 degrees
Fractional positions:
K1 0.133 0.133 0.133
K2 0.867 0.867 0.867
Rb1 0.000 0.000 0.000
Cd1 0.409 0.409 0.409
Cd2 0.591 0.591 0.591
Bi1 0.254 0.254 0.254
Bi2 0.746 0.746 0.746

Results
Raw total energy = -2.091 eV/atom
Symmetry = No. 166
Magnetic moment = 0.00 μB per formula unit
Formation enthalpy at 0 K = -0.27 eV per atom



No. 18
Here is a relaxed KCd2BiRh crystal from the Alexandria database. Energies are from PBE.

Cell lengths 5.329, 5.329, 5.239 Å; angles 90.00, 90.00, 90.00 degrees
Fractional positions:
K1 0.000 0.000 0.000
Cd1 0.000 0.500 0.500
Cd2 0.500 0.000 0.500
Bi1 0.500 0.500 0.000
Rh1 0.500 0.500 0.500

Results
Raw total energy = -2.947 eV/atom
Symmetry = No. 123
Magnetic moment = 0.00 μB per formula unit
Formation enthalpy at 0 K = -0.11 eV per atom



No. 19
Here is a relaxed KCd4BiSb2 crystal from the Alexandria database. Energies are from PBE.

Cell lengths 4.778, 4.778, 11.351 Å; angles 90.00, 90.00, 90.00 degrees
Fractional positions:
K1 0.000 0.000 0.000
Cd1 0.000 0.500 0.324
Cd2 0.000 0.500 0.676
Cd3 0.500 0.000 0.324
Cd4 0.500 0.000 0.676
Bi1 0.000 0.000 0.500
Sb1 0.500 0.500 0.174
Sb2 0.500 0.500 0.826

Results
Raw total energy = -2.247 eV/atom
Symmetry = No. 123
Magnetic moment = 0.00 μB per formula unit



No. 20
Here is a relaxed K2Cd3Sn4Bi crystal from the Alexandria database. Energies are from PBE.

Cell lengths 5.104, 5.104, 12.321 Å; angles 90.00, 90.00, 90.00 degrees
Fractional positions:
K1 0.000 0.500 0.245
K2 0.500 0.000 0.755
Cd1 0.000 0.500 0.870
Cd2 0.500 0.000 0.130
Cd3 0.500 0.500 0.500
Sn1 0.000 0.000 0.000
Sn2 0.000 0.500 0.637
Sn3 0.500 0.000 0.363
Sn4 0.500 0.500 0.000
Bi1 0.000 0.000 0.500

Results
Raw total energy = -2.613 eV/atom
Symmetry = No. 115
Magnetic moment = 0.00 μB per formula unit
Formation enthalpy at 0 K = -0.13 eV per atom



No. 21
Here is a relaxed K2Cd4Sn3Bi crystal from the Alexandria database. Energies are from PBE.

Cell lengths 4.891, 4.891, 12.872 Å; angles 90.00, 90.00, 90.00 degrees
Fractional positions:
K1 0.000 0.500 0.242
K2 0.500 0.000 0.758
Cd1 0.000 0.000 0.000
Cd2 0.000 0.500 0.649
Cd3 0.500 0.000 0.351
Cd4 0.500 0.500 0.000
Sn1 0.000 0.500 0.869
Sn2 0.500 0.000 0.131
Sn3 0.500 0.500 0.500
Bi1 0.000 0.000 0.500

Results
Raw total energy = -2.339 eV/atom
Symmetry = No. 115
Magnetic moment = 0.00 μB per formula unit
Formation enthalpy at 0 K = -0.16 eV per atom



No. 22
Here is a relaxed K2CdSnBi2 crystal from the Alexandria database. Energies are from PBE.

Cell lengths 9.648, 9.648, 9.648 Å; angles 134.37, 67.63, 132.95 degrees
Fractional positions:
K1 0.164 0.249 0.413
K2 0.336 0.749 0.085
K3 0.664 0.251 0.915
K4 0.836 0.751 0.587
Cd1 0.250 0.250 0.000
Cd2 0.750 0.750 0.000
Sn1 0.250 0.750 0.500
Sn2 0.750 0.250 0.500
Bi1 0.102 0.756 0.858
Bi2 0.398 0.256 0.655
Bi3 0.602 0.744 0.345
Bi4 0.898 0.244 0.142

Results
Raw total energy = -2.741 eV/atom
Symmetry = No. 72
Magnetic moment = 0.00 μB per formula unit
Formation enthalpy at 0 K = -0.26 eV per atom



No. 23
Here is a relaxed K2Cd4SnBi3 crystal from the Alexandria database. Energies are from PBE.

Cell lengths 5.157, 5.157, 12.445 Å; angles 90.00, 90.00, 90.00 degrees
Fractional positions:
K1 0.000 0.500 0.249
K2 0.500 0.000 0.751
Cd1 0.000 0.000 0.500
Cd2 0.000 0.500 0.870
Cd3 0.500 0.000 0.130
Cd4 0.500 0.500 0.500
Sn1 0.500 0.500 0.000
Bi1 0.000 0.000 0.000
Bi2 0.000 0.500 0.633
Bi3 0.500 0.000 0.367

Results
Raw total energy = -2.346 eV/atom
Symmetry = No. 115
Magnetic moment = 0.00 μB per formula unit
Formation enthalpy at 0 K = -0.20 eV per atom



No. 24
Here is a relaxed K2SrCd3Bi4 crystal from the Alexandria database. Energies are from PBE.

Cell lengths 5.325, 5.325, 12.758 Å; angles 90.00, 90.00, 90.00 degrees
Fractional positions:
K1 0.000 0.500 0.228
K2 0.500 0.000 0.772
Sr1 0.000 0.000 0.500
Cd1 0.000 0.500 0.876
Cd2 0.500 0.000 0.124
Cd3 0.500 0.500 0.500
Bi1 0.000 0.000 0.000
Bi2 0.000 0.500 0.645
Bi3 0.500 0.000 0.355
Bi4 0.500 0.500 0.000

Results
Raw total energy = -2.549 eV/atom
Symmetry = No. 115
Magnetic moment = 0.00 μB per formula unit
Formation enthalpy at 0 K = -0.33 eV per atom



No. 25
Here is a relaxed KTiCd2Bi crystal from the Alexandria database. Energies are from PBE.

Cell lengths 5.569, 5.569, 5.394 Å; angles 90.00, 90.00, 90.00 degrees
Fractional positions:
K1 0.000 0.000 0.000
Ti1 0.500 0.500 0.500
Cd1 0.000 0.500 0.500
Cd2 0.500 0.000 0.500
Bi1 0.500 0.500 0.000

Results
Raw total energy = -2.860 eV/atom
Symmetry = No. 123
Magnetic moment = 1.23 μB per formula unit
Formation enthalpy at 0 K = 0.08 eV per atom